MgZrRh2: optimized geometry, PBE-GGA.

Results
Its crystal system is cubic. The theoretical density comes out at 8.1 g cm⁻³. For the electronic total energy, the calculation gives -7.0117 eV/atom. Its calculated formation energy is -800 meV/atom. As for the magnetic moment: 0.00 μB/f.u.

a b c (Å): 6.4159 6.4159 6.4159
angles (deg): 90.00 90.00 90.00
Space group Fm-3m (No. 225)
Symmetry-distinct sites (fractional):
Mg (0.0000, 0.0000, 0.0000) (multiplicity 4)
Zr (0.0000, 0.0000, 0.5000) (multiplicity 4)
Rh (0.2500, 0.2500, 0.2500) (multiplicity 8)